Density functional theory data (PBE-GGA) for a geometry-optimized Na3Nd2SmSe6 structure.

Cell: 7.3929 12.8045 7.4363 Å, 90.00 109.36 90.00°
Space group C2/m (No. 12)
Inequivalent atoms, fractional coordinates:
Na (0.0000, 0.0000, 0.0000)
Na (0.0000, 0.3330, 0.0000)
Nd (0.0000, 0.1666, 0.5000)
Sm (0.0000, 0.5000, 0.5000)
Se (0.2437, 0.3348, 0.7356)
Se (0.2481, 0.0000, 0.7353)

Output
As for the magnetization: 0.00 μB/cell. The formation energy from raw total energies is -1954 kJ/mol of formula units.

Density functional theory data (PBE-GGA) for a geometry-optimized SbAsCl structure.

Cell: 6.8143 6.8143 6.8143 Å, 90.00 90.00 90.00°
Space group F-43m (No. 216)
Inequivalent atoms, fractional coordinates:
Sb (0.0000, 0.0000, 0.0000)
As (0.2500, 0.2500, 0.7500)
Cl (0.0000, 0.0000, 0.5000)

Output
As for the magnetization: 0.00 μB/cell. The formation energy from raw total energies is 16 kJ/mol of formula units.

Density functional theory data (PBE-GGA) for a geometry-optimized TmIn3Ag structure.

Cell: 8.4626 11.6730 9.9919 Å, 90.00 90.00 90.00°
Space group Cmcm (No. 63)
Inequivalent atoms, fractional coordinates:
Tm (0.0000, 0.1233, 0.2500)
Tm (0.0000, 0.3595, 0.7500)
In (0.0000, 0.1134, 0.5836)
In (0.1777, 0.5000, 0.0000)
In (0.1799, 0.3598, 0.2500)
Ag (0.2500, 0.2500, 0.0000)

Output
As for the magnetization: 0.00 μB/cell. The value obtained for the energy is -3.224 eV/atom.

Density functional theory data (PBE-GGA) for a geometry-optimized Co2CuPb structure.

Cell: 3.1953 3.1953 5.8535 Å, 90.00 90.00 90.00°
Space group P4/mmm (No. 123)
Inequivalent atoms, fractional coordinates:
Co (0.0000, 0.0000, 0.2022)
Cu (0.5000, 0.5000, 0.0000)
Pb (0.5000, 0.5000, 0.5000)

Output
As for the magnetization: 2.90 μB/cell. The value obtained for the energy is -5.016 eV/atom.

Density functional theory data (PBE-GGA) for a geometry-optimized CuTcRh2 structure.

Cell: 2.7472 2.7472 7.3228 Å, 90.00 90.00 90.00°
Space group P4/mmm (No. 123)
Inequivalent atoms, fractional coordinates:
Cu (0.0000, 0.0000, 0.0000)
Tc (0.0000, 0.0000, 0.5000)
Rh (0.5000, 0.5000, 0.2493)

Output
As for the magnetization: 0.00 μB/cell. The value obtained for the energy is -7.358 eV/atom.

Density functional theory data (PBE-GGA) for a geometry-optimized Mg2GaPt structure.

Cell: 9.3718 4.8967 7.9046 Å, 90.00 115.30 90.00°
Space group C2/c (No. 15)
Inequivalent atoms, fractional coordinates:
Mg (0.1932, 0.0419, 0.1031)
Ga (0.0000, 0.3316, 0.2500)
Pt (0.0000, 0.1700, 0.7500)

Output
As for the magnetization: 0.00 μB/cell. The value obtained for the energy is -3.557 eV/atom.

Density functional theory data (PBE-GGA) for a geometry-optimized Na2SiC structure.

Cell: 10.4234 10.4234 3.6263 Å, 90.00 90.00 90.00°
Space group I-42d (No. 122)
Inequivalent atoms, fractional coordinates:
Na (0.0091, 0.2500, 0.1250)
Si (0.0000, 0.0000, 0.5000)
C (0.0000, 0.0000, 0.0000)

Output
As for the magnetization: 0.00 μB/cell. The formation energy from raw total energies is 218 kJ/mol of formula units.

Density functional theory data (PBE-GGA) for a geometry-optimized Pr4GeRu structure.

Cell: 9.1102 13.8546 6.4606 Å, 90.00 120.88 90.00°
Space group C2/c (No. 15)
Inequivalent atoms, fractional coordinates:
Pr (0.1209, 0.1823, 0.0880)
Pr (0.2121, 0.4372, 0.3031)
Ge (0.0000, 0.3709, 0.7500)
Ru (0.0000, 0.0007, 0.2500)

Output
As for the magnetization: 0.00 μB/cell. The value obtained for the energy is -5.877 eV/atom.